1.
Computed, not measured: LiZn2GeH after structural relaxation at the PBE level of DFT.

Unit cell a=4.075 b=4.075 c=3.908 alpha=90.00 beta=90.00 gamma=90.00
Element x y z (fractional)
Li 0.000 0.000 0.000
Zn 0.000 0.500 0.500
Zn 0.500 0.000 0.500
Ge 0.500 0.500 0.000
H 0.000 0.000 0.500

Summary:
Crystal system ... tetragonal
Final energy ... -2.47 eV per atom

***

2.
Computed, not measured: Sr3IrC after structural relaxation at the PBE level of DFT.

Unit cell a=5.699 b=5.699 c=5.699 alpha=90.00 beta=90.00 gamma=90.00
Element x y z (fractional)
Sr 0.000 0.000 0.500
Sr 0.000 0.500 0.000
Sr 0.500 0.000 0.000
Ir 0.000 0.000 0.000
C 0.500 0.500 0.500

Summary:
E_form ... 1.005 eV per atom
Crystal system ... cubic
Final energy ... -3.62 eV per atom

***

3.
Computed, not measured: Zr2NiRh after structural relaxation at the PBE level of DFT.

Unit cell a=5.805 b=5.805 c=5.805 alpha=103.98 beta=103.98 gamma=121.11
Element x y z (fractional)
Zr 0.120 0.625 0.995
Zr 0.375 0.370 0.495
Zr 0.630 0.125 0.005
Zr 0.875 0.880 0.505
Ni 0.000 0.000 0.000
Ni 0.750 0.250 0.500
Rh 0.250 0.750 0.500
Rh 0.500 0.500 0.000

Summary:
E_form ... -0.154 eV per atom
Crystal system ... tetragonal
Final energy ... -7.71 eV per atom

***

The lowest final energy belongs to which entry?
Zr2NiRh

***

Which value of final energy does entry 1 give?
-2.47 eV per atom